1.
Entry from the Open Quantum Materials Database: a relaxed structure of NaCdNO (PBE-GGA).

Computed properties:
Calculated volume, Å³/atom: 12.79
DFT total energy, eV/atom: -3.80

a b c (Å): 4.7664 9.1633 4.6854
angles (deg): 90.00 90.00 90.00
Closest atoms and distances in Å follow each position.
Atoms (fractional coordinates):
Cd 0.0015 0.1356 0.0543  1 O 2.05, 1 N 2.17
Cd 0.5015 0.8644 0.0543  1 O 2.05, 1 N 2.17
Cd 0.4985 0.1356 0.5543  1 O 2.05, 1 N 2.17
Cd 0.9985 0.8644 0.5543  1 O 2.05, 1 N 2.17
N 0.5018 0.1011 0.0557  5 Cd 2.17-2.41
N 0.0018 0.8989 0.0557  5 Cd 2.17-2.41
N 0.9982 0.1011 0.5557  5 Cd 2.17-2.41
N 0.4982 0.8989 0.5557  5 Cd 2.17-2.41
Na 0.5022 0.3888 0.0463  5 O 2.31-2.40
Na 0.0022 0.6112 0.0463  5 O 2.31-2.40
Na 0.9978 0.3888 0.5463  5 O 2.31-2.40
Na 0.4978 0.6112 0.5463  5 O 2.31-2.40
O 0.0018 0.3593 0.0462  1 Cd 2.05
O 0.5018 0.6407 0.0462  1 Cd 2.05
O 0.4982 0.3593 0.5462  1 Cd 2.05
O 0.9982 0.6407 0.5462  1 Cd 2.05



2.
Entry from the Open Quantum Materials Database: a relaxed structure of NaCdNO (PBE-GGA).

Computed properties:
Calculated volume, Å³/atom: 16.74
DFT total energy, eV/atom: -3.57

a b c (Å): 3.4619 5.9594 6.4919
angles (deg): 90.00 90.00 90.00
Closest atoms and distances in Å follow each position.
Atoms (fractional coordinates):
Cd 0.0000 0.4985 0.3376  2 N 2.12-2.13, 2 O 2.14
Cd 0.0000 0.9985 0.6624  2 N 2.12-2.13, 2 O 2.14
N 0.0000 0.8534 0.3630  2 Cd 2.12-2.13
N 0.0000 0.3534 0.6370  2 Cd 2.12-2.13
Na 0.5000 0.0127 0.1518  2 O 2.22-2.25, 2 N 2.40
Na 0.5000 0.5127 0.8482  2 O 2.22-2.25, 2 N 2.40
O 0.5000 0.3894 0.1713  2 Cd 2.14, 2 Na 2.22-2.25
O 0.5000 0.8894 0.8287  2 Cd 2.14, 2 Na 2.22-2.25



3.
Entry from the Open Quantum Materials Database: a relaxed structure of NaCdNO (PBE-GGA).

Computed properties:
Calculated volume, Å³/atom: 13.54
DFT total energy, eV/atom: -3.75

a b c (Å): 4.3957 3.6910 6.6740
angles (deg): 90.00 90.00 90.00
Closest atoms and distances in Å follow each position.
Atoms (fractional coordinates):
Cd 0.5000 0.9387 0.3164  2 O 2.11, 2 N 2.36
Cd 0.5000 0.4387 0.6836  2 O 2.11, 2 N 2.36
N 0.0000 0.9382 0.4464  2 N 1.98
N 0.0000 0.4382 0.5536  2 N 1.98
Na 0.0000 0.4388 0.1838  2 O 2.20
Na 0.0000 0.9388 0.8162  2 O 2.20
O 0.5000 0.4383 0.1626  2 Cd 2.11, 2 Na 2.20
O 0.5000 0.9383 0.8374  2 Cd 2.11, 2 Na 2.20



4.
Entry from the Open Quantum Materials Database: a relaxed structure of NaCdNO (PBE-GGA).

Computed properties:
Calculated volume, Å³/atom: 12.44
DFT total energy, eV/atom: -3.66

a b c (Å): 4.6166 4.6166 4.6706
angles (deg): 90.00 90.00 90.00
Closest atoms and distances in Å follow each position.
Atoms (fractional coordinates):
Cd 0.0000 0.0000 0.5000  4 N 2.31, 2 O 2.34
Cd 0.5000 0.5000 0.5000  4 N 2.31, 2 O 2.34
N 0.0000 0.5000 0.4984  4 Cd 2.31, 2 Na 2.33-2.34
N 0.5000 0.0000 0.5016  4 Cd 2.31, 2 Na 2.33-2.34
Na 0.5000 0.0000 0.0013  4 O 2.31, 2 N 2.33-2.34
Na 0.0000 0.5000 0.9987  4 O 2.31, 2 N 2.33-2.34
O 0.0000 0.0000 0.0000  4 Na 2.31, 2 Cd 2.34
O 0.5000 0.5000 0.0000  4 Na 2.31, 2 Cd 2.34



5.
Entry from the Open Quantum Materials Database: a relaxed structure of NaCdNO (PBE-GGA).

Computed properties:
Calculated volume, Å³/atom: 13.52
DFT total energy, eV/atom: -3.73

a b c (Å): 6.5647 8.7220 3.7770
angles (deg): 90.00 90.00 90.00
Closest atoms and distances in Å follow each position.
Atoms (fractional coordinates):
Cd 0.4285 0.3698 0.0511  3 O 2.16-2.23, 1 N 2.28
Cd 0.9285 0.6302 0.0511  3 O 2.16-2.23, 1 N 2.28
Cd 0.0715 0.3698 0.5511  3 O 2.16-2.23, 1 N 2.28
Cd 0.5715 0.6302 0.5511  3 O 2.16-2.23, 1 N 2.28
N 0.3048 0.1255 0.0472  2 N 2.02
N 0.8048 0.8745 0.0472  2 N 2.02
N 0.1952 0.1255 0.5472  2 N 2.02
N 0.6952 0.8745 0.5472  2 N 2.02
Na 0.9401 0.1235 0.0526  1 O 2.20, 2 N 2.35-2.39
Na 0.4401 0.8765 0.0526  1 O 2.20, 2 N 2.35-2.39
Na 0.5599 0.1235 0.5526  1 O 2.20, 2 N 2.35-2.39
Na 0.0599 0.8765 0.5526  1 O 2.20, 2 N 2.35-2.39
O 0.9129 0.3749 0.0514  3 Cd 2.16-2.23, 1 Na 2.20
O 0.4129 0.6251 0.0514  3 Cd 2.16-2.23, 1 Na 2.20
O 0.5871 0.3749 0.5514  3 Cd 2.16-2.23, 1 Na 2.20
O 0.0871 0.6251 0.5514  3 Cd 2.16-2.23, 1 Na 2.20



6.
Entry from the Open Quantum Materials Database: a relaxed structure of NaCdNO (PBE-GGA).

Computed properties:
Calculated volume, Å³/atom: 12.67
DFT total energy, eV/atom: -3.63

a b c (Å): 4.7161 4.7161 4.5581
angles (deg): 90.00 90.00 90.00
Closest atoms and distances in Å follow each position.
Atoms (fractional coordinates):
Cd 0.7500 0.7500 0.4995  2 N 2.28, 4 O 2.36
Cd 0.2500 0.2500 0.5005  2 N 2.28, 4 O 2.36
N 0.2500 0.2500 0.0005  2 Cd 2.28, 4 Na 2.36
N 0.7500 0.7500 0.9995  2 Cd 2.28, 4 Na 2.36
Na 0.7500 0.2500 0.0000  2 O 2.28, 4 N 2.36
Na 0.2500 0.7500 0.0000  2 O 2.28, 4 N 2.36
O 0.7500 0.2500 0.5000  2 Na 2.28, 4 Cd 2.36
O 0.2500 0.7500 0.5000  2 Na 2.28, 4 Cd 2.36



Q: What is the DFT total energy in the second record?
A: -3.57 eV/atom



Repeat the third record exactly.
Entry from the Open Quantum Materials Database: a relaxed structure of NaCdNO (PBE-GGA).

Computed properties:
Calculated volume, Å³/atom: 13.54
DFT total energy, eV/atom: -3.75

a b c (Å): 4.3957 3.6910 6.6740
angles (deg): 90.00 90.00 90.00
Closest atoms and distances in Å follow each position.
Atoms (fractional coordinates):
Cd 0.5000 0.9387 0.3164  2 O 2.11, 2 N 2.36
Cd 0.5000 0.4387 0.6836  2 O 2.11, 2 N 2.36
N 0.0000 0.9382 0.4464  2 N 1.98
N 0.0000 0.4382 0.5536  2 N 1.98
Na 0.0000 0.4388 0.1838  2 O 2.20
Na 0.0000 0.9388 0.8162  2 O 2.20
O 0.5000 0.4383 0.1626  2 Cd 2.11, 2 Na 2.20
O 0.5000 0.9383 0.8374  2 Cd 2.11, 2 Na 2.20



Q: Look up the DFT total energy of the second one.
A: -3.57 eV/atom



Q: Among the records above, which one has the lowest calculated volume?
A: number 4